Computed, not measured: an optimized crystal structure of SrPrFeO4 at the GGA+U level of DFT.

Output
The raw total energy comes out at -7.096 eV/atom.

Lattice parameters (Å, degrees): 6.878 6.878 6.878 146.91 146.91 47.49
Element x y z (fractional)
Sr1 0.000 0.000 0.000
Pr1 0.717 0.717 0.000
Fe1 0.361 0.361 0.000
O1 0.190 0.190 0.000
O2 0.348 0.848 0.500
O3 0.528 0.528 0.000
O4 0.848 0.348 0.500